1.
Computed, not measured: a geometry-optimized NdScH structure at the PBE level of DFT.

Calculated values
volume = 20.585 A^3/atom
excess energy over the best structure of this formula in the dataset = 0.000 eV/atom

a = 12.572 Å, b = 3.502 Å, c = 5.610 Å
α = 90.00°, β = 90.00°, γ = 90.00°
Sites, in units of the cell vectors:
Nd 0.045 0.250 0.247
Nd 0.455 0.750 0.747
Nd 0.545 0.250 0.253
Nd 0.955 0.750 0.753
Sc 0.216 0.250 0.779
Sc 0.284 0.750 0.279
Sc 0.716 0.250 0.721
Sc 0.784 0.750 0.221
H 0.221 0.250 0.151
H 0.279 0.750 0.651
H 0.721 0.250 0.349
H 0.779 0.750 0.849



2.
Computed, not measured: a geometry-optimized LaCuO3 structure at the PBE level of DFT.

Calculated values
energy = -6.48 eV/atom
volume = 18.206 A^3/atom

a = 8.550 Å, b = 8.550 Å, c = 3.937 Å
α = 90.00°, β = 90.00°, γ = 140.75°
Sites, in units of the cell vectors:
La 0.197 0.803 0.750
La 0.803 0.197 0.250
Cu 0.400 0.600 0.750
Cu 0.600 0.400 0.250
O 0.072 0.436 0.750
O 0.436 0.072 0.250
O 0.500 0.500 0.000
O 0.500 0.500 0.500
O 0.564 0.928 0.750
O 0.928 0.564 0.250



3.
Computed, not measured: a geometry-optimized BaIn2Ru structure at the PBE level of DFT.

Calculated values
energy of formation from the pure elements = 41.1 kJ/mol of formula units
volume = 27.033 A^3/atom

a = 6.450 Å, b = 6.450 Å, c = 6.450 Å
α = 149.31°, β = 127.15°, γ = 62.37°
Sites, in units of the cell vectors:
Ba 0.000 0.000 0.000
In 0.304 0.804 0.500
In 0.696 0.196 0.500
Ru 0.500 0.500 0.000



4.
Computed, not measured: a geometry-optimized AlRh2Cl structure at the PBE level of DFT.

Calculated values
volume = 16.635 A^3/atom
excess energy over the best structure of this formula in the dataset = 0.538 eV/atom

a = 8.412 Å, b = 8.412 Å, c = 8.412 Å
α = 151.75°, β = 151.75°, γ = 40.38°
Sites, in units of the cell vectors:
Al 0.000 0.000 0.000
Al 0.750 0.250 0.500
Rh 0.141 0.625 0.016
Rh 0.375 0.391 0.516
Rh 0.609 0.125 0.984
Rh 0.875 0.859 0.484
Cl 0.250 0.750 0.500
Cl 0.500 0.500 0.000



5.
Computed, not measured: a geometry-optimized CeMgRu structure at the PBE level of DFT.

Calculated values
energy of formation from the pure elements = 0.7 kJ/mol of formula units
volume = 20.313 A^3/atom

a = 4.671 Å, b = 4.671 Å, c = 3.225 Å
α = 90.00°, β = 90.00°, γ = 120.00°
Sites, in units of the cell vectors:
Ce 0.000 0.000 0.000
Mg 0.667 0.333 0.535
Ru 0.333 0.667 0.329



6.
Computed, not measured: a geometry-optimized K8PdAu2O structure at the PBE level of DFT.

Calculated values
energy = -2.45 eV/atom
volume = 42.286 A^3/atom

a = 7.513 Å, b = 7.679 Å, c = 8.812 Å
α = 90.41°, β = 90.64°, γ = 93.44°
Sites, in units of the cell vectors:
K 0.197 0.235 0.497
K 0.206 0.656 0.289
K 0.207 0.652 0.717
K 0.284 0.165 0.999
K 0.716 0.835 0.001
K 0.793 0.348 0.283
K 0.794 0.344 0.711
K 0.803 0.765 0.503
Pd 0.000 0.500 0.000
Au 0.497 0.998 0.668
Au 0.503 0.002 0.332
O 0.000 0.500 0.500



7.
Computed, not measured: a geometry-optimized Ba6Pt2Br structure at the PBE level of DFT.

Calculated values
energy = -3.58 eV/atom
volume = 48.160 A^3/atom

a = 8.955 Å, b = 8.955 Å, c = 8.955 Å
α = 53.74°, β = 53.74°, γ = 53.74°
Sites, in units of the cell vectors:
Ba 0.002 0.350 0.648
Ba 0.195 0.801 0.508
Ba 0.350 0.648 0.002
Ba 0.508 0.195 0.801
Ba 0.648 0.002 0.350
Ba 0.801 0.508 0.195
Pt 0.412 0.412 0.412
Pt 0.590 0.590 0.590
Br 0.083 0.083 0.083



8.
Computed, not measured: a geometry-optimized Fe3Ni4Pd structure at the PBE level of DFT.

Calculated values
energy of formation from the pure elements = -31.5 kJ/mol of formula units
volume = 11.861 A^3/atom

a = 8.313 Å, b = 5.145 Å, c = 4.437 Å
α = 90.00°, β = 90.00°, γ = 90.00°
Sites, in units of the cell vectors:
Fe 0.000 0.000 0.000
Fe 0.250 0.000 0.332
Fe 0.250 0.500 0.345
Fe 0.500 0.000 0.000
Fe 0.750 0.000 0.668
Fe 0.750 0.500 0.655
Ni 0.000 0.241 0.500
Ni 0.000 0.759 0.500
Ni 0.250 0.246 0.828
Ni 0.250 0.754 0.828
Ni 0.500 0.241 0.500
Ni 0.500 0.759 0.500
Ni 0.750 0.246 0.172
Ni 0.750 0.754 0.172
Pd 0.000 0.500 0.000
Pd 0.500 0.500 0.000



9.
Computed, not measured: a geometry-optimized Tb3Nd2YBi6 structure at the PBE level of DFT.

Calculated values
energy of formation from the pure elements = -1045.9 kJ/mol of formula units
volume = 32.900 A^3/atom

a = 10.130 Å, b = 10.130 Å, c = 9.062 Å
α = 102.87°, β = 102.87°, γ = 25.86°
Sites, in units of the cell vectors:
Tb 0.000 0.000 0.000
Tb 0.332 0.332 0.666
Tb 0.668 0.668 0.334
Nd 0.334 0.334 0.168
Nd 0.666 0.666 0.832
Y 0.000 0.000 0.500
Bi 0.165 0.165 0.087
Bi 0.166 0.166 0.577
Bi 0.498 0.498 0.748
Bi 0.502 0.502 0.252
Bi 0.834 0.834 0.423
Bi 0.835 0.835 0.913



10.
Computed, not measured: a geometry-optimized Zr2PdN2 structure at the PBE level of DFT.

Calculated values
volume = 13.411 A^3/atom
excess energy over the best structure of this formula in the dataset = 0.550 eV/atom

a = 6.798 Å, b = 6.798 Å, c = 2.902 Å
α = 90.00°, β = 90.00°, γ = 90.00°
Sites, in units of the cell vectors:
Zr 0.151 0.349 0.000
Zr 0.349 0.849 0.000
Zr 0.651 0.151 0.000
Zr 0.849 0.651 0.000
Pd 0.000 0.000 0.000
Pd 0.500 0.500 0.000
N 0.137 0.637 0.500
N 0.363 0.137 0.500
N 0.637 0.863 0.500
N 0.863 0.363 0.500



11.
Computed, not measured: a geometry-optimized SmCd7Hg2 structure at the PBE level of DFT.

Calculated values
energy of formation from the pure elements = 13.1 kJ/mol of formula units
volume = 27.306 A^3/atom

a = 9.995 Å, b = 9.995 Å, c = 3.166 Å
α = 90.00°, β = 90.00°, γ = 120.31°
Sites, in units of the cell vectors:
Sm 0.000 0.000 0.000
Cd 0.139 0.333 0.500
Cd 0.186 0.814 0.000
Cd 0.333 0.139 0.500
Cd 0.500 0.500 0.500
Cd 0.667 0.861 0.500
Cd 0.814 0.186 0.000
Cd 0.861 0.667 0.500
Hg 0.329 0.671 0.500
Hg 0.671 0.329 0.500



12.
Computed, not measured: a geometry-optimized Mg4Cd3Hg5 structure at the PBE level of DFT.

Calculated values
energy of formation from the pure elements = -39.1 kJ/mol of formula units
volume = 24.343 A^3/atom

a = 6.300 Å, b = 6.300 Å, c = 10.918 Å
α = 117.27°, β = 117.27°, γ = 51.54°
Sites, in units of the cell vectors:
Mg 0.161 0.161 0.039
Mg 0.299 0.299 0.588
Mg 0.701 0.701 0.412
Mg 0.839 0.839 0.961
Cd 0.000 0.000 0.500
Cd 0.092 0.092 0.273
Cd 0.908 0.908 0.727
Hg 0.225 0.225 0.808
Hg 0.456 0.456 0.129
Hg 0.500 0.500 0.500
Hg 0.544 0.544 0.871
Hg 0.775 0.775 0.192